Here is an optimized crystal structure of NdMg6Sn6 from Alexandria. Energies are from PBE.

Total DFT energy (no corrections): -3.146 eV/atom
Fermi-level density of states: 9.2 states/eV/cell
Magnetization: 0.0 μB/cell
E_form: -0.196 eV/atom

Lattice parameters (Å, degrees): 6.2721 6.2721 9.4228 90.00 90.00 120.00
Space group P6/mmm (No. 191)
Symmetry-distinct sites (fractional):
Nd  0.0000  0.0000  0.0000 x1
Mg  0.0000  0.5000  0.2445 x6
Sn  0.0000  0.0000  0.3427 x2
Sn  0.3333  0.6667  0.0000 x2
Sn  0.3333  0.6667  0.5000 x2


Here is an optimized crystal structure of Nd3MgSn2 from Alexandria. Energies are from PBE.

Total DFT energy (no corrections): -4.493 eV/atom
Fermi-level density of states: 25.5 states/eV/cell
Magnetization: 6.7 μB/cell
E_form: -0.509 eV/atom

Lattice parameters (Å, degrees): 6.5947 16.9923 6.4615 90.00 90.00 90.00
Space group Ibam (No. 72)
Symmetry-distinct sites (fractional):
Nd  0.0000  0.0000  0.2500 x4
Nd  0.2475  0.3230  0.0000 x8
Mg  0.0000  0.5000  0.2500 x4
Sn  0.2421  0.3677  0.5000 x8